Record 1
DFT (PBEsol) results for a relaxed Cr2Pt crystal.

The structure in POSCAR format:
```
Cr2Pt
1.0
4.7777 -1.2996 0.0000
4.7777 1.2996 0.0000
-1.6148 0.0000 6.0600
Cr Pt
4 2
Direct
0.0330 0.0330 0.2976
0.3686 0.3686 0.9761
0.6314 0.6314 0.0239
0.9670 0.9670 0.7024
0.3125 0.3125 0.3536
0.6875 0.6875 0.6464
```

Results
V   38 Å³/f.u.
Crystal system   monoclinic
ΔE_f   0.1 eV per formula unit



Record 2
DFT (PBEsol) results for a relaxed LiYRh4 crystal.

The structure in POSCAR format:
```
LiYRh4
1.0
0.0000 3.6469 3.6469
3.6469 0.0000 3.6469
3.6469 3.6469 0.0000
Li Y Rh
1 1 4
Direct
0.0000 0.0000 0.0000
0.2500 0.2500 0.2500
0.1237 0.6254 0.6254
0.6254 0.1237 0.6254
0.6254 0.6254 0.1237
0.6254 0.6254 0.6254
```

Results
V   97 Å³/f.u.
Crystal system   cubic
ΔE_f   -2.3 eV per formula unit



Record 3
DFT (PBEsol) results for a relaxed InHgPb2 crystal.

The structure in POSCAR format:
```
InHgPb2
1.0
1.7137 0.9894 10.5721
-1.7137 0.9894 10.5721
0.0000 -1.9789 10.5721
In Hg Pb
1 1 2
Direct
0.0000 0.0000 0.0000
0.2584 0.2584 0.2584
0.5109 0.5109 0.5109
0.7518 0.7518 0.7518
```

Results
V   108 Å³/f.u.
Crystal system   trigonal
Distance to the lowest polymorph of the same formula   4.0 meV per atom
ΔE_f   0.0 eV per formula unit



Record 4
DFT (PBEsol) results for a relaxed CrAg2W crystal.

The structure in POSCAR format:
```
CrAg2W
1.0
0.0000 3.1574 3.1574
3.1574 0.0000 3.1574
3.1574 3.1574 0.0000
Cr Ag W
1 2 1
Direct
0.0000 0.0000 0.0000
0.2500 0.2500 0.2500
0.7500 0.7500 0.7500
0.5000 0.5000 0.5000
```

Results
V   63 Å³/f.u.
Crystal system   cubic
Distance to the lowest polymorph of the same formula   317.3 meV per atom
ΔE_f   3.9 eV per formula unit



Record 5
DFT (PBEsol) results for a relaxed Ca4Zr3TaO12 crystal.

The structure in POSCAR format:
```
Ca4Zr3TaO12
1.0
5.5432 0.0000 0.0000
-0.0083 5.7239 0.0000
-0.0001 -0.0460 7.9460
Ca Zr Ta O
4 3 1 12
Direct
0.0126 0.0524 0.2513
0.4871 0.5524 0.2524
0.5129 0.4476 0.7476
0.9874 0.9476 0.7487
0.0000 0.5000 0.0000
0.5000 0.0000 0.0000
0.5000 0.0000 0.5000
0.0000 0.5000 0.5000
0.0994 0.5345 0.7435
0.1925 0.8037 0.0551
0.1972 0.7866 0.4467
0.2904 0.2989 0.4479
0.3068 0.3044 0.0572
0.3941 0.0394 0.7496
0.6059 0.9606 0.2504
0.6932 0.6956 0.9428
0.7096 0.7011 0.5521
0.8028 0.2134 0.5533
0.8075 0.1963 0.9449
0.9006 0.4655 0.2565
```

Results
V   252 Å³/f.u.
Crystal system   triclinic
ΔE_f (raw)   -3228 meV/atom



Record 6
DFT (PBEsol) results for a relaxed Ba2FeAg crystal.

The structure in POSCAR format:
```
Ba2FeAg
1.0
2.2412 1.2939 8.3073
-2.2412 1.2939 8.3073
0.0000 -2.5879 8.3073
Ba Fe Ag
2 1 1
Direct
0.0000 0.0000 0.0000
0.1748 0.1748 0.1748
0.7543 0.7543 0.7543
0.4206 0.4206 0.4206
```

Results
V   145 Å³/f.u.
Crystal system   trigonal
Distance to the lowest polymorph of the same formula   0.0 meV per atom
ΔE_f   1.2 eV per formula unit



Question: Among the records above, which one has the lowest V?
Answer: Cr2Pt